# 1
ErZn2Ge2 after structural relaxation. Source: Alexandria, functional PBE.

Cell: 11.480 11.480 4.041 Å, 90.00 90.00 159.97°
Positions (direct):
Er 0.149 0.851 0.750
Er 0.851 0.149 0.250
Zn 0.039 0.961 0.250
Zn 0.458 0.542 0.250
Zn 0.542 0.458 0.750
Zn 0.961 0.039 0.750
Ge 0.249 0.751 0.250
Ge 0.381 0.619 0.750
Ge 0.619 0.381 0.250
Ge 0.751 0.249 0.750

Summary:
- Space group: No. 63


# 2
Er3Zn2Ge3 after structural relaxation. Source: Alexandria, functional PBE.

Cell: 5.843 5.843 14.220 Å, 90.00 90.00 138.02°
Positions (direct):
Er 0.068 0.932 0.615
Er 0.068 0.932 0.885
Er 0.354 0.646 0.750
Er 0.646 0.354 0.250
Er 0.932 0.068 0.115
Er 0.932 0.068 0.385
Zn 0.226 0.774 0.099
Zn 0.226 0.774 0.401
Zn 0.774 0.226 0.599
Zn 0.774 0.226 0.901
Ge 0.363 0.637 0.250
Ge 0.384 0.616 0.543
Ge 0.384 0.616 0.957
Ge 0.616 0.384 0.043
Ge 0.616 0.384 0.457
Ge 0.637 0.363 0.750

Summary:
- Space group: No. 63


# 3
Er2ZnGe after structural relaxation. Source: Alexandria, functional PBE.

Cell: 4.882 4.882 3.662 Å, 90.00 90.00 90.00°
Positions (direct):
Er 0.000 0.500 0.000
Er 0.500 0.000 0.000
Zn 0.000 0.000 0.500
Ge 0.500 0.500 0.500

Summary:
- Space group: No. 123


# 4
ErZn2Ge after structural relaxation. Source: Alexandria, functional PBE.

Cell: 4.103 4.103 4.409 Å, 90.00 90.00 90.00°
Positions (direct):
Er 0.000 0.000 0.000
Zn 0.000 0.500 0.500
Zn 0.500 0.000 0.500
Ge 0.500 0.500 0.000

Summary:
- Relative energy among the computed polymorphs: 0.00 eV per formula unit
- Space group: No. 123


# 5
ErZnGe after structural relaxation. Source: Alexandria, functional PBE.

Cell: 4.164 4.164 4.009 Å, 90.00 90.00 120.00°
Positions (direct):
Er 0.000 0.000 0.000
Zn 0.667 0.333 0.498
Ge 0.333 0.667 0.501

Summary:
- Space group: No. 156


# 6
Er2Zn3Ge after structural relaxation. Source: Alexandria, functional PBE.

Cell: 8.752 8.370 5.630 Å, 74.52 67.17 38.31°
Positions (direct):
Er 0.247 0.753 0.753
Er 0.250 0.250 0.250
Er 0.750 0.750 0.750
Er 0.753 0.247 0.247
Zn 0.165 0.165 0.835
Zn 0.167 0.668 0.332
Zn 0.332 0.833 0.167
Zn 0.668 0.167 0.833
Zn 0.833 0.332 0.668
Zn 0.835 0.835 0.165
Ge 0.333 0.333 0.667
Ge 0.667 0.667 0.333

Summary:
- Relative energy among the computed polymorphs: 0.00 eV per formula unit
- Space group: No. 69


# 7
Er3ZnGe2 after structural relaxation. Source: Alexandria, functional PBE.

Cell: 11.353 4.195 11.411 Å, 90.00 90.00 90.00°
Positions (direct):
Er 0.055 0.250 0.123
Er 0.130 0.750 0.565
Er 0.205 0.250 0.803
Er 0.295 0.750 0.303
Er 0.370 0.250 0.065
Er 0.445 0.750 0.623
Er 0.555 0.250 0.377
Er 0.630 0.750 0.935
Er 0.705 0.250 0.697
Er 0.795 0.750 0.197
Er 0.870 0.250 0.435
Er 0.945 0.750 0.877
Zn 0.137 0.250 0.364
Zn 0.363 0.750 0.864
Zn 0.637 0.250 0.136
Zn 0.863 0.750 0.636
Ge 0.017 0.750 0.320
Ge 0.184 0.750 0.002
Ge 0.316 0.250 0.502
Ge 0.483 0.250 0.820
Ge 0.517 0.750 0.180
Ge 0.684 0.750 0.498
Ge 0.816 0.250 0.998
Ge 0.983 0.250 0.680

Summary:
- Space group: No. 62


# 8
ErZnGe after structural relaxation. Source: Alexandria, functional PBE.

Cell: 4.174 4.174 7.933 Å, 90.00 90.00 120.00°
Positions (direct):
Er 0.000 0.000 0.000
Er 0.000 0.000 0.500
Zn 0.333 0.667 0.250
Zn 0.667 0.333 0.750
Ge 0.333 0.667 0.750
Ge 0.667 0.333 0.250

Summary:
- Space group: No. 194


Number 1: energy relative to the elements -0.37 eV per atom, raw total energy -3.64 eV/atom. Number 2: energy relative to the elements -0.63 eV per atom, raw total energy -4.39 eV/atom. Number 3: energy relative to the elements -0.53 eV per atom, raw total energy -4.29 eV/atom. Number 4: energy relative to the elements -0.41 eV per atom, raw total energy -3.34 eV/atom. Number 5: energy relative to the elements -0.61 eV per atom, raw total energy -4.09 eV/atom. Number 6: energy relative to the elements -0.51 eV per atom, raw total energy -3.44 eV/atom. Number 7: energy relative to the elements -0.70 eV per atom, raw total energy -4.73 eV/atom. Number 8: energy relative to the elements -0.60 eV per atom, raw total energy -4.08 eV/atom.